a) InIr2Pb after structural relaxation. Source: Alexandria, functional PBE.

Cell lengths 6.804, 6.804, 6.804 Å; angles 154.58, 142.36, 45.97 degrees
Positions (direct):
In (0.000, 0.000, 0.000)
Ir (0.464, 0.464, 0.000)
Ir (0.646, 0.146, 0.500)
Pb (0.260, 0.760, 0.500)

## Properties
Its magnetic moment is 0.0000 μB per atom. Its calculated volume is 20.6 Å³ per atom.



b) InIr2Pb after structural relaxation. Source: Alexandria, functional PBE.

Cell lengths 5.495, 5.495, 5.495 Å; angles 137.72, 137.72, 61.33 degrees
Positions (direct):
In (0.000, 0.000, 0.000)
Ir (0.250, 0.750, 0.500)
Ir (0.500, 0.500, 0.000)
Pb (0.750, 0.250, 0.500)

## Properties
Its magnetic moment is 0.0000 μB per atom. Its calculated volume is 18.6 Å³ per atom.



c) InIr2Pb after structural relaxation. Source: Alexandria, functional PBE.

Cell lengths 7.604, 7.604, 7.604 Å; angles 133.76, 133.76, 67.47 degrees
Positions (direct):
In (0.000, 0.000, 0.000)
In (0.750, 0.250, 0.500)
Ir (0.120, 0.625, 0.995)
Ir (0.375, 0.370, 0.495)
Ir (0.630, 0.125, 0.005)
Ir (0.875, 0.880, 0.505)
Pb (0.250, 0.750, 0.500)
Pb (0.500, 0.500, 0.000)

## Properties
Its magnetic moment is 0.0000 μB per atom. Its calculated volume is 28.2 Å³ per atom.



a) is favored, and the nearest alternative lies 12.9 kJ/mol of atoms above it.